1.
# Hf2ZrCd

A geometry-optimized Hf2ZrCd structure (GGA-PBEsol, Alexandria).

Computed properties:
Calculated formation energy: -0.35 eV/f.u.
E_tot: -7.912 eV/atom
D(E_F): 3.36 states/eV/f.u.
Calculated volume: 84.7 Å³ per cell
M_tot: 0.00 μB per formula unit

Cell: 3.103 3.103 8.797 Å, 90.00 90.00 90.00°
Fractional positions:
Hf  0.000  0.000  0.000
Hf  0.500  0.500  0.243
Zr  0.000  0.000  0.496
Cd  0.500  0.500  0.749

=====

2.
# YRu2W

A geometry-optimized YRu2W structure (GGA-PBEsol, Alexandria).

Computed properties:
Calculated formation energy: -0.19 eV/f.u.
E_tot: -10.292 eV/atom
D(E_F): 5.08 states/eV/f.u.
Calculated volume: 67.4 Å³ per cell
Distance to the lowest polymorph of the same formula: 0.0 meV per atom
M_tot: 0.00 μB per formula unit

Cell: 3.079 3.079 7.115 Å, 90.00 90.00 90.00°
Fractional positions:
Y  0.000  0.000  0.000
Ru  0.500  0.500  0.292
Ru  0.500  0.500  0.708
W  0.000  0.000  0.500

=====

3.
# LaSiSb2

A geometry-optimized LaSiSb2 structure (GGA-PBEsol, Alexandria).

Computed properties:
E_tot: -5.396 eV/atom
D(E_F): 2.29 states/eV/f.u.
Calculated volume: 101.2 Å³ per cell
M_tot: 0.00 μB per formula unit

Cell: 4.011 4.011 6.291 Å, 90.00 90.00 90.00°
Fractional positions:
La  0.000  0.000  0.000
Si  0.500  0.500  0.692
Sb  0.000  0.000  0.516
Sb  0.500  0.500  0.253

=====

4.
# FeMoF3

A geometry-optimized FeMoF3 structure (GGA-PBEsol, Alexandria).

Computed properties:
E_tot: -5.955 eV/atom
D(E_F): 6.50 states/eV/f.u.
Calculated volume: 67.4 Å³ per cell
M_tot: 9.06 μB per formula unit

Cell: 4.069 4.069 4.069 Å, 90.00 90.00 90.00°
Fractional positions:
Fe  0.000  0.000  0.000
Mo  0.500  0.500  0.500
F  0.000  0.000  0.500
F  0.000  0.500  0.000
F  0.500  0.000  0.000

=====

5.
# ZrMo2Pt

A geometry-optimized ZrMo2Pt structure (GGA-PBEsol, Alexandria).

Computed properties:
Calculated formation energy: 0.19 eV/f.u.
E_tot: -9.849 eV/atom
D(E_F): 4.26 states/eV/f.u.
Calculated volume: 66.3 Å³ per cell
Distance to the lowest polymorph of the same formula: 283.0 meV per atom
M_tot: 0.00 μB per formula unit

Cell: 2.757 4.060 5.926 Å, 90.00 90.00 90.00°
Fractional positions:
Zr  0.000  0.000  0.000
Mo  0.500  0.500  0.277
Mo  0.500  0.500  0.723
Pt  0.000  0.000  0.500

=====

6.
# ScSn2RuF

A geometry-optimized ScSn2RuF structure (GGA-PBEsol, Alexandria).

Computed properties:
E_tot: -5.683 eV/atom
D(E_F): 5.35 states/eV/f.u.
Calculated volume: 104.9 Å³ per cell
M_tot: 0.69 μB per formula unit

Cell: 5.189 5.189 3.895 Å, 90.00 90.00 90.00°
Fractional positions:
Sc  0.000  0.000  0.000
Sn  0.000  0.500  0.500
Sn  0.500  0.000  0.500
Ru  0.500  0.500  0.500
F  0.500  0.500  0.000

=====

7.
# YTe2

A geometry-optimized YTe2 structure (GGA-PBEsol, Alexandria).

Computed properties:
E_tot: -5.847 eV/atom
D(E_F): 0.94 states/eV/f.u.
Calculated volume: 175.2 Å³ per cell
M_tot: 0.00 μB per formula unit

Cell: 7.979 7.979 7.979 Å, 150.01 136.02 54.15°
Fractional positions:
Y  0.137  0.137  0.000
Y  0.863  0.863  0.000
Te  0.251  0.500  0.751
Te  0.292  0.792  0.500
Te  0.708  0.208  0.500
Te  0.749  0.500  0.249

=====

8.
# Li8Cr3TeO12

A geometry-optimized Li8Cr3TeO12 structure (GGA-PBEsol, Alexandria).

Computed properties:
E_tot: -6.576 eV/atom
D(E_F): 7.71 states/eV/f.u.
Calculated volume: 206.5 Å³ per cell
M_tot: 8.00 μB per formula unit

Cell: 4.945 8.442 4.946 Å, 90.00 90.36 90.00°
Fractional positions:
Li  0.000  0.000  0.000
Li  0.000  0.022  0.500
Li  0.000  0.308  0.500
Li  0.000  0.684  0.000
Li  0.500  0.174  0.500
Li  0.500  0.466  0.500
Li  0.500  0.499  0.000
Li  0.500  0.833  0.000
Cr  0.000  0.327  0.000
Cr  0.500  0.161  0.000
Cr  0.500  0.855  0.500
Te  0.000  0.657  0.500
O  0.155  0.502  0.743
O  0.171  0.826  0.720
O  0.172  0.174  0.779
O  0.323  0.675  0.280
O  0.328  0.324  0.218
O  0.350  0.000  0.248
O  0.650  0.000  0.752
O  0.672  0.324  0.782
O  0.677  0.675  0.720
O  0.828  0.174  0.221
O  0.829  0.826  0.280
O  0.845  0.502  0.257

=====

9.
# MnPH2CO6

A geometry-optimized MnPH2CO6 structure (GGA-PBEsol, Alexandria).

Computed properties:
E_tot: -7.269 eV/atom
Calculated volume: 227.4 Å³ per cell
M_tot: 5.00 μB per formula unit

Cell: 8.046 8.046 5.478 Å, 97.92 97.92 136.34°
Fractional positions:
Mn  0.194  0.806  0.000
Mn  0.806  0.194  0.000
P  0.330  0.670  0.500
P  0.670  0.330  0.500
H  0.175  0.365  0.682
H  0.365  0.175  0.682
H  0.635  0.825  0.318
H  0.825  0.635  0.318
C  0.099  0.099  0.943
C  0.901  0.901  0.057
O  0.098  0.249  0.902
O  0.162  0.611  0.247
O  0.183  0.400  0.510
O  0.249  0.098  0.902
O  0.389  0.838  0.753
O  0.400  0.183  0.510
O  0.600  0.817  0.490
O  0.611  0.162  0.247
O  0.751  0.902  0.098
O  0.817  0.600  0.490
O  0.838  0.389  0.753
O  0.902  0.751  0.098

=====

10.
# LiMoIBr2

A geometry-optimized LiMoIBr2 structure (GGA-PBEsol, Alexandria).

Computed properties:
E_tot: -3.575 eV/atom
D(E_F): 4.07 states/eV/f.u.
Calculated volume: 124.4 Å³ per cell
M_tot: 4.03 μB per formula unit

Cell: 4.747 4.747 5.519 Å, 90.00 90.00 90.00°
Fractional positions:
Li  0.000  0.000  0.000
Mo  0.500  0.500  0.500
I  0.000  0.000  0.500
Br  0.000  0.500  0.000
Br  0.500  0.000  0.000

=====

11.
# Zr2InCl

A geometry-optimized Zr2InCl structure (GGA-PBEsol, Alexandria).

Computed properties:
E_tot: -6.357 eV/atom
D(E_F): 1.25 states/eV/f.u.
Calculated volume: 85.4 Å³ per cell
Distance to the lowest polymorph of the same formula: 0.0 meV per atom
M_tot: 0.00 μB per formula unit

Cell: 4.887 5.744 5.744 Å, 31.96 90.00 90.00°
Fractional positions:
Zr  0.000  0.000  0.000
Zr  0.500  0.337  0.337
In  0.500  0.599  0.599
Cl  0.000  0.315  0.315

=====

12.
# POsBrO2

A geometry-optimized POsBrO2 structure (GGA-PBEsol, Alexandria).

Computed properties:
E_tot: -4.849 eV/atom
D(E_F): 2.86 states/eV/f.u.
Calculated volume: 74.3 Å³ per cell
M_tot: 1.86 μB per formula unit

Cell: 3.606 3.606 5.717 Å, 90.00 90.00 90.00°
Fractional positions:
P  0.000  0.000  0.000
Os  0.500  0.500  0.000
Br  0.000  0.000  0.500
O  0.000  0.500  0.500
O  0.500  0.000  0.500

=====

13.
# Cs3Ca2Cl7

A geometry-optimized Cs3Ca2Cl7 structure (GGA-PBEsol, Alexandria).

Computed properties:
E_tot: -3.998 eV/atom
D(E_F): 0.00 states/eV/f.u.
Calculated volume: 393.8 Å³ per cell
M_tot: 0.00 μB per formula unit

Cell: 14.297 14.297 14.297 Å, 158.46 158.46 30.65°
Fractional positions:
Cs  0.000  0.000  0.000
Cs  0.183  0.183  0.000
Cs  0.817  0.817  0.000
Ca  0.402  0.402  0.000
Ca  0.598  0.598  0.000
Cl  0.095  0.595  0.500
Cl  0.305  0.305  0.000
Cl  0.405  0.905  0.500
Cl  0.500  0.500  0.000
Cl  0.595  0.095  0.500
Cl  0.695  0.695  0.000
Cl  0.905  0.405  0.500

=====

14.
# NaTaTc2Pb

A geometry-optimized NaTaTc2Pb structure (GGA-PBEsol, Alexandria).

Computed properties:
Calculated formation energy: 11.62 eV/f.u.
E_tot: -5.773 eV/atom
D(E_F): 3.76 states/eV/f.u.
Calculated volume: 95.4 Å³ per cell
M_tot: 2.89 μB per formula unit

Cell: 4.528 4.528 4.652 Å, 90.00 90.00 90.00°
Fractional positions:
Na  0.000  0.000  0.000
Ta  0.500  0.500  0.500
Tc  0.000  0.500  0.000
Tc  0.500  0.000  0.000
Pb  0.000  0.000  0.500

=====

15.
# Hf3MnAg

A geometry-optimized Hf3MnAg structure (GGA-PBEsol, Alexandria).

Computed properties:
Calculated formation energy: 6.75 eV/f.u.
E_tot: -7.565 eV/atom
D(E_F): 6.55 states/eV/f.u.
Calculated volume: 124.8 Å³ per cell
M_tot: 4.44 μB per formula unit

Cell: 4.997 4.997 4.997 Å, 90.00 90.00 90.00°
Fractional positions:
Hf  0.000  0.000  0.500
Hf  0.000  0.500  0.000
Hf  0.500  0.000  0.000
Mn  0.500  0.500  0.500
Ag  0.000  0.000  0.000

=====

16.
# MgNbS2

A geometry-optimized MgNbS2 structure (GGA-PBEsol, Alexandria).

Computed properties:
E_tot: -5.953 eV/atom
D(E_F): 3.06 states/eV/f.u.
Calculated volume: 170.5 Å³ per cell
M_tot: 0.44 μB per formula unit

Cell: 6.488 6.488 6.488 Å, 126.55 126.55 78.99°
Fractional positions:
Mg  0.000  0.000  0.000
Mg  0.750  0.250  0.500
Nb  0.250  0.750  0.500
Nb  0.500  0.500  0.000
S  0.128  0.625  0.003
S  0.375  0.378  0.503
S  0.622  0.125  0.997
S  0.875  0.872  0.497

=====

17.
# RbCrFe2H

A geometry-optimized RbCrFe2H structure (GGA-PBEsol, Alexandria).

Computed properties:
E_tot: -4.007 eV/atom
D(E_F): 6.83 states/eV/f.u.
Calculated volume: 86.0 Å³ per cell
M_tot: 9.97 μB per formula unit

Cell: 5.041 5.041 3.387 Å, 90.00 90.00 90.00°
Fractional positions:
Rb  0.000  0.000  0.000
Cr  0.500  0.500  0.500
Fe  0.000  0.500  0.000
Fe  0.500  0.000  0.000
H  0.000  0.000  0.500

=====

18.
# VW2C3

A geometry-optimized VW2C3 structure (GGA-PBEsol, Alexandria).

Computed properties:
Calculated formation energy: -0.42 eV/f.u.
E_tot: -11.100 eV/atom
D(E_F): 2.77 states/eV/f.u.
Calculated volume: 58.9 Å³ per cell
M_tot: 0.00 μB per formula unit

Cell: 5.246 5.246 5.246 Å, 146.46 131.85 59.95°
Fractional positions:
V  0.000  0.000  0.000
W  0.333  0.333  0.000
W  0.667  0.667  0.000
C  0.160  0.660  0.500
C  0.500  0.000  0.500
C  0.840  0.340  0.500

=====

19.
# CaSn2HgOs

A geometry-optimized CaSn2HgOs structure (GGA-PBEsol, Alexandria).

Computed properties:
Calculated formation energy: 5.30 eV/f.u.
E_tot: -3.627 eV/atom
D(E_F): 5.20 states/eV/f.u.
Calculated volume: 145.9 Å³ per cell
M_tot: 1.46 μB per formula unit

Cell: 5.338 5.338 5.121 Å, 90.00 90.00 90.00°
Fractional positions:
Ca  0.000  0.000  0.000
Sn  0.000  0.500  0.500
Sn  0.500  0.000  0.500
Hg  0.500  0.500  0.500
Os  0.500  0.500  0.000

=====

20.
# PdAu2F8

A geometry-optimized PdAu2F8 structure (GGA-PBEsol, Alexandria).

Computed properties:
E_tot: -3.706 eV/atom
D(E_F): 0.13 states/eV/f.u.
Calculated volume: 315.0 Å³ per cell
M_tot: 2.00 μB per formula unit

Cell: 5.207 10.950 7.505 Å, 90.00 132.60 90.00°
Fractional positions:
Pd  0.000  0.000  0.000
Pd  0.000  0.500  0.500
Au  0.266  0.188  0.526
Au  0.266  0.312  0.026
Au  0.734  0.688  0.974
Au  0.734  0.812  0.474
F  0.052  0.602  0.287
F  0.052  0.898  0.787
F  0.076  0.153  0.863
F  0.076  0.347  0.363
F  0.439  0.726  0.170
F  0.439  0.774  0.670
F  0.460  0.030  0.692
F  0.460  0.470  0.192
F  0.540  0.530  0.808
F  0.540  0.970  0.308
F  0.561  0.226  0.330
F  0.561  0.274  0.830
F  0.924  0.653  0.637
F  0.924  0.847  0.137
F  0.948  0.102  0.213
F  0.948  0.398  0.713

=====

21.
# InRu2Rh

A geometry-optimized InRu2Rh structure (GGA-PBEsol, Alexandria).

Computed properties:
Calculated formation energy: 0.54 eV/f.u.
E_tot: -7.732 eV/atom
D(E_F): 5.88 states/eV/f.u.
Calculated volume: 58.8 Å³ per cell
M_tot: 0.00 μB per formula unit

Cell: 4.768 4.768 4.768 Å, 131.93 131.93 70.34°
Fractional positions:
In  0.000  0.000  0.000
Ru  0.250  0.750  0.500
Ru  0.500  0.500  0.000
Rh  0.750  0.250  0.500

=====

22.
# ZrCo2Te

A geometry-optimized ZrCo2Te structure (GGA-PBEsol, Alexandria).

Computed properties:
E_tot: -7.141 eV/atom
D(E_F): 5.10 states/eV/f.u.
Calculated volume: 66.0 Å³ per cell
M_tot: 0.30 μB per formula unit

Cell: 3.187 3.855 5.369 Å, 90.00 90.00 90.00°
Fractional positions:
Zr  0.000  0.000  0.000
Co  0.500  0.500  0.216
Co  0.500  0.500  0.784
Te  0.500  0.000  0.500

=====

23.
# SiTcHgOs2

A geometry-optimized SiTcHgOs2 structure (GGA-PBEsol, Alexandria).

Computed properties:
E_tot: -5.338 eV/atom
D(E_F): 5.54 states/eV/f.u.
Calculated volume: 105.2 Å³ per cell
M_tot: 3.35 μB per formula unit

Cell: 4.881 4.881 4.414 Å, 90.00 90.00 90.00°
Fractional positions:
Si  0.000  0.000  0.000
Tc  0.500  0.500  0.000
Hg  0.000  0.000  0.500
Os  0.000  0.500  0.500
Os  0.500  0.000  0.500

=====

24.
# TiOs2N

A geometry-optimized TiOs2N structure (GGA-PBEsol, Alexandria).

Computed properties:
E_tot: -9.341 eV/atom
D(E_F): 2.37 states/eV/f.u.
Calculated volume: 50.7 Å³ per cell
M_tot: 0.00 μB per formula unit

Cell: 4.153 4.153 4.153 Å, 60.00 60.00 60.00°
Fractional positions:
Ti  0.000  0.000  0.000
Os  0.250  0.250  0.250
Os  0.750  0.750  0.750
N  0.500  0.500  0.500

=====

25.
# Zr2BMoN

A geometry-optimized Zr2BMoN structure (GGA-PBEsol, Alexandria).

Computed properties:
E_tot: -9.381 eV/atom
D(E_F): 2.87 states/eV/f.u.
Calculated volume: 66.7 Å³ per cell
M_tot: 0.00 μB per formula unit

Cell: 4.581 4.581 3.176 Å, 90.00 90.00 90.00°
Fractional positions:
Zr  0.000  0.500  0.000
Zr  0.500  0.000  0.000
B  0.000  0.000  0.500
Mo  0.500  0.500  0.500
N  0.000  0.000  0.000

=====

26.
# NiAs2Ir

A geometry-optimized NiAs2Ir structure (GGA-PBEsol, Alexandria).

Computed properties:
Calculated formation energy: 0.26 eV/f.u.
E_tot: -6.484 eV/atom
D(E_F): 2.70 states/eV/f.u.
Calculated volume: 56.6 Å³ per cell
Distance to the lowest polymorph of the same formula: 125.0 meV per atom
M_tot: 0.00 μB per formula unit

Cell: 4.309 4.309 4.309 Å, 60.00 60.00 60.00°
Fractional positions:
Ni  0.000  0.000  0.000
As  0.250  0.250  0.250
As  0.750  0.750  0.750
Ir  0.500  0.500  0.500